Entry 1:
This record from the Alexandria database describes a relaxed structure of Nb3PbCl. The functional is PBE-GGA.

```
data_Nb3PbCl
_chemical_formula_sum 'Nb3 Pb1 Cl1'
_cell_length_a 4.625
_cell_length_b 4.625
_cell_length_c 4.625
_cell_angle_alpha 90.00
_cell_angle_beta 90.00
_cell_angle_gamma 90.00
_space_group_name_H-M_alt 'P m -3 m'
_space_group_IT_number 221
_space_group_name_Hall '-P 4 2 3'
loop_
_atom_site_label
_atom_site_type_symbol
_atom_site_fract_x
_atom_site_fract_y
_atom_site_fract_z
_atom_site_occupancy
Nb1 Nb 0.000 0.000 0.500 1
Pb1 Pb 0.500 0.500 0.500 1
Cl1 Cl 0.000 0.000 0.000 1
```

Results
N(E_F) (states/eV/atom): 0.63
Calculated volume (Å³/atom): 19.8
Energy above the most stable polymorph in this dataset (meV per atom): 0
Electronic total energy (eV/atom): -6.603
Energy relative to the elements, uncorrected (eV/atom): 0.549

***

Entry 2:
This record from the Alexandria database describes a relaxed structure of Nb4PbCl7. The functional is PBE-GGA.

```
data_Nb4PbCl7
_chemical_formula_sum 'Nb8 Pb2 Cl14'
_cell_length_a 16.423
_cell_length_b 8.163
_cell_length_c 4.814
_cell_angle_alpha 90.00
_cell_angle_beta 90.00
_cell_angle_gamma 90.00
_space_group_name_H-M_alt 'P m n 21'
_space_group_IT_number 31
_space_group_name_Hall 'P 2ac -2'
loop_
_atom_site_label
_atom_site_type_symbol
_atom_site_fract_x
_atom_site_fract_y
_atom_site_fract_z
_atom_site_occupancy
Nb1 Nb 0.155 0.077 0.000 1
Nb2 Nb 0.222 0.822 0.999 1
Pb1 Pb 0.000 0.746 0.628 1
Cl1 Cl 0.000 0.991 0.025 1
Cl2 Cl 0.105 0.612 0.009 1
Cl3 Cl 0.123 0.143 0.501 1
Cl4 Cl 0.230 0.719 0.499 1
```

Results
N(E_F) (states/eV/atom): 0.23
Calculated volume (Å³/atom): 26.9
Electronic total energy (eV/atom): -5.403
Energy relative to the elements, uncorrected (eV/atom): -0.660

***

Entry 3:
This record from the Alexandria database describes a relaxed structure of NbPbCl2. The functional is PBE-GGA.

```
data_NbPbCl2
_chemical_formula_sum 'Nb3 Pb3 Cl6'
_cell_length_a 3.3203
_cell_length_b 3.3203
_cell_length_c 29.8401
_cell_angle_alpha 90.00
_cell_angle_beta 90.00
_cell_angle_gamma 120.00
_space_group_name_H-M_alt 'R -3 m'
_space_group_IT_number 166
_space_group_name_Hall '-R 3 2"'
loop_
_atom_site_label
_atom_site_type_symbol
_atom_site_fract_x
_atom_site_fract_y
_atom_site_fract_z
_atom_site_occupancy
Nb1 Nb 0.0000 0.0000 0.0000 1
Pb1 Pb 0.0000 0.0000 0.5000 1
Cl1 Cl 0.0000 0.0000 0.0794 1
```

Results
N(E_F) (states/eV/atom): 0.87
Calculated volume (Å³/atom): 23.7
Energy above the most stable polymorph in this dataset (meV per atom): 358
Electronic total energy (eV/atom): -4.637
Energy relative to the elements, uncorrected (eV/atom): -0.269

***

Entry 4:
This record from the Alexandria database describes a relaxed structure of NbPb2Cl2. The functional is PBE-GGA.

```
data_NbPb2Cl2
_chemical_formula_sum 'Nb2 Pb4 Cl4'
_cell_length_a 4.411
_cell_length_b 4.411
_cell_length_c 14.195
_cell_angle_alpha 90.00
_cell_angle_beta 90.00
_cell_angle_gamma 90.00
_space_group_name_H-M_alt 'I 4/m m m'
_space_group_IT_number 139
_space_group_name_Hall '-I 4 2'
loop_
_atom_site_label
_atom_site_type_symbol
_atom_site_fract_x
_atom_site_fract_y
_atom_site_fract_z
_atom_site_occupancy
Nb1 Nb 0.000 0.000 0.000 1
Pb1 Pb 0.000 0.000 0.391 1
Cl1 Cl 0.000 0.500 0.250 1
```

Results
N(E_F) (states/eV/atom): 1.00
Calculated volume (Å³/atom): 27.6
Energy above the most stable polymorph in this dataset (meV per atom): 147
Electronic total energy (eV/atom): -3.807
Energy relative to the elements, uncorrected (eV/atom): 0.429

***

Entry 5:
This record from the Alexandria database describes a relaxed structure of NbPbCl3. The functional is PBE-GGA.

```
data_NbPbCl3
_chemical_formula_sum 'Nb1 Pb1 Cl3'
_cell_length_a 5.104
_cell_length_b 5.104
_cell_length_c 5.104
_cell_angle_alpha 90.00
_cell_angle_beta 90.00
_cell_angle_gamma 90.00
_space_group_name_H-M_alt 'P m -3 m'
_space_group_IT_number 221
_space_group_name_Hall '-P 4 2 3'
loop_
_atom_site_label
_atom_site_type_symbol
_atom_site_fract_x
_atom_site_fract_y
_atom_site_fract_z
_atom_site_occupancy
Nb1 Nb 0.000 0.000 0.000 1
Pb1 Pb 0.500 0.500 0.500 1
Cl1 Cl 0.000 0.000 0.500 1
```

Results
N(E_F) (states/eV/atom): 0.71
Calculated volume (Å³/atom): 26.6
Energy above the most stable polymorph in this dataset (meV per atom): 0
Electronic total energy (eV/atom): -4.263
Energy relative to the elements, uncorrected (eV/atom): -0.399

***

Entry 6:
This record from the Alexandria database describes a relaxed structure of NbRePbCl2. The functional is PBE-GGA.

```
data_NbRePbCl2
_chemical_formula_sum 'Nb1 Re1 Pb1 Cl2'
_cell_length_a 4.803
_cell_length_b 4.803
_cell_length_c 5.194
_cell_angle_alpha 90.00
_cell_angle_beta 90.00
_cell_angle_gamma 90.00
_space_group_name_H-M_alt 'P 4/m m m'
_space_group_IT_number 123
_space_group_name_Hall '-P 4 2'
loop_
_atom_site_label
_atom_site_type_symbol
_atom_site_fract_x
_atom_site_fract_y
_atom_site_fract_z
_atom_site_occupancy
Nb1 Nb 0.000 0.000 0.000 1
Re1 Re 0.000 0.000 0.500 1
Pb1 Pb 0.500 0.500 0.500 1
Cl1 Cl 0.000 0.500 0.000 1
```

Results
N(E_F) (states/eV/atom): 0.62
Calculated volume (Å³/atom): 24.0
Electronic total energy (eV/atom): -5.464
Energy relative to the elements, uncorrected (eV/atom): 0.520

***

Entry 7:
This record from the Alexandria database describes a relaxed structure of NbPbS2Cl. The functional is PBE-GGA.

```
data_NbPbS2Cl
_chemical_formula_sum 'Nb1 Pb1 S2 Cl1'
_cell_length_a 5.254
_cell_length_b 5.254
_cell_length_c 5.142
_cell_angle_alpha 90.00
_cell_angle_beta 90.00
_cell_angle_gamma 90.00
_space_group_name_H-M_alt 'P 4/m m m'
_space_group_IT_number 123
_space_group_name_Hall '-P 4 2'
loop_
_atom_site_label
_atom_site_type_symbol
_atom_site_fract_x
_atom_site_fract_y
_atom_site_fract_z
_atom_site_occupancy
Nb1 Nb 0.000 0.000 0.000 1
Pb1 Pb 0.500 0.500 0.500 1
S1 S 0.000 0.500 0.500 1
Cl1 Cl 0.500 0.500 0.000 1
```

Results
N(E_F) (states/eV/atom): 1.17
Calculated volume (Å³/atom): 28.4
Energy above the most stable polymorph in this dataset (meV per atom): 1225
Electronic total energy (eV/atom): -4.053
Energy relative to the elements, uncorrected (eV/atom): 0.723

***

Entry 8:
This record from the Alexandria database describes a relaxed structure of NbPbSCl2. The functional is PBE-GGA.

```
data_NbPbSCl2
_chemical_formula_sum 'Nb1 Pb1 S1 Cl2'
_cell_length_a 5.373
_cell_length_b 5.373
_cell_length_c 5.445
_cell_angle_alpha 90.00
_cell_angle_beta 90.00
_cell_angle_gamma 90.00
_space_group_name_H-M_alt 'P 4/m m m'
_space_group_IT_number 123
_space_group_name_Hall '-P 4 2'
loop_
_atom_site_label
_atom_site_type_symbol
_atom_site_fract_x
_atom_site_fract_y
_atom_site_fract_z
_atom_site_occupancy
Nb1 Nb 0.000 0.000 0.000 1
Pb1 Pb 0.500 0.500 0.500 1
S1 S 0.500 0.500 0.000 1
Cl1 Cl 0.000 0.500 0.500 1
```

Results
N(E_F) (states/eV/atom): 0.83
Calculated volume (Å³/atom): 31.4
Energy above the most stable polymorph in this dataset (meV per atom): 924
Electronic total energy (eV/atom): -3.841
Energy relative to the elements, uncorrected (eV/atom): 0.478

***

Entry 9:
This record from the Alexandria database describes a relaxed structure of NbPbSCl2. The functional is PBE-GGA.

```
data_NbPbSCl2
_chemical_formula_sum 'Nb1 Pb1 S1 Cl2'
_cell_length_a 5.226
_cell_length_b 5.226
_cell_length_c 4.908
_cell_angle_alpha 90.00
_cell_angle_beta 90.00
_cell_angle_gamma 90.00
_space_group_name_H-M_alt 'P 4/m m m'
_space_group_IT_number 123
_space_group_name_Hall '-P 4 2'
loop_
_atom_site_label
_atom_site_type_symbol
_atom_site_fract_x
_atom_site_fract_y
_atom_site_fract_z
_atom_site_occupancy
Nb1 Nb 0.000 0.000 0.000 1
Pb1 Pb 0.500 0.500 0.500 1
S1 S 0.000 0.000 0.500 1
Cl1 Cl 0.000 0.500 0.000 1
```

Results
N(E_F) (states/eV/atom): 0.86
Calculated volume (Å³/atom): 26.8
Energy above the most stable polymorph in this dataset (meV per atom): 0
Electronic total energy (eV/atom): -4.765
Energy relative to the elements, uncorrected (eV/atom): -0.445

***

Entry 10:
This record from the Alexandria database describes a relaxed structure of NbPbS2Cl. The functional is PBE-GGA.

```
data_NbPbS2Cl
_chemical_formula_sum 'Nb1 Pb1 S2 Cl1'
_cell_length_a 5.030
_cell_length_b 5.030
_cell_length_c 5.004
_cell_angle_alpha 90.00
_cell_angle_beta 90.00
_cell_angle_gamma 90.00
_space_group_name_H-M_alt 'P 4/m m m'
_space_group_IT_number 123
_space_group_name_Hall '-P 4 2'
loop_
_atom_site_label
_atom_site_type_symbol
_atom_site_fract_x
_atom_site_fract_y
_atom_site_fract_z
_atom_site_occupancy
Nb1 Nb 0.000 0.000 0.000 1
Pb1 Pb 0.500 0.500 0.500 1
S1 S 0.000 0.500 0.000 1
Cl1 Cl 0.000 0.000 0.500 1
```

Results
N(E_F) (states/eV/atom): 0.64
Calculated volume (Å³/atom): 25.3
Energy above the most stable polymorph in this dataset (meV per atom): 0
Electronic total energy (eV/atom): -5.278
Energy relative to the elements, uncorrected (eV/atom): -0.502

***

Entry 11:
This record from the Alexandria database describes a relaxed structure of ScNbPbCl2. The functional is PBE-GGA.

```
data_ScNbPbCl2
_chemical_formula_sum 'Sc1 Nb1 Pb1 Cl2'
_cell_length_a 5.374
_cell_length_b 5.374
_cell_length_c 5.917
_cell_angle_alpha 90.00
_cell_angle_beta 90.00
_cell_angle_gamma 90.00
_space_group_name_H-M_alt 'P 4/m m m'
_space_group_IT_number 123
_space_group_name_Hall '-P 4 2'
loop_
_atom_site_label
_atom_site_type_symbol
_atom_site_fract_x
_atom_site_fract_y
_atom_site_fract_z
_atom_site_occupancy
Sc1 Sc 0.000 0.000 0.000 1
Nb1 Nb 0.500 0.500 0.000 1
Pb1 Pb 0.500 0.500 0.500 1
Cl1 Cl 0.000 0.500 0.500 1
```

Results
N(E_F) (states/eV/atom): 0.79
Calculated volume (Å³/atom): 34.2
Electronic total energy (eV/atom): -4.050
Energy relative to the elements, uncorrected (eV/atom): 0.711

***

Entry 12:
This record from the Alexandria database describes a relaxed structure of YNbPb2Cl. The functional is PBE-GGA.

```
data_YNbPb2Cl
_chemical_formula_sum 'Y1 Nb1 Pb2 Cl1'
_cell_length_a 5.603
_cell_length_b 5.603
_cell_length_c 4.521
_cell_angle_alpha 90.00
_cell_angle_beta 90.00
_cell_angle_gamma 90.00
_space_group_name_H-M_alt 'P 4/m m m'
_space_group_IT_number 123
_space_group_name_Hall '-P 4 2'
loop_
_atom_site_label
_atom_site_type_symbol
_atom_site_fract_x
_atom_site_fract_y
_atom_site_fract_z
_atom_site_occupancy
Y1 Y 0.000 0.000 0.000 1
Nb1 Nb 0.500 0.500 0.000 1
Pb1 Pb 0.000 0.500 0.500 1
Cl1 Cl 0.500 0.500 0.500 1
```

Results
N(E_F) (states/eV/atom): 0.83
Calculated volume (Å³/atom): 28.4
Energy above the most stable polymorph in this dataset (meV per atom): 0
Electronic total energy (eV/atom): -4.798
Energy relative to the elements, uncorrected (eV/atom): 0.362